(1)
Here is a geometry-optimized V2Ge2Se structure from the Alexandria database. Energies are from PBE. Values from VASP.

Values from the calculation:
**Space-group type**: P4/mbm

Quantum ESPRESSO input file:
```
&SYSTEM
  ibrav = 0, nat = 10, ntyp = 3
/
ATOMIC_SPECIES
V 50.94 V.upf
Ge 72.64 Ge.upf
Se 78.96 Se.upf
CELL_PARAMETERS angstrom
6.7700 0.0000 0.0000
0.0000 6.7700 0.0000
0.0000 0.0000 3.4516
ATOMIC_POSITIONS crystal
V 0.1614 0.3386 0.0000
V 0.3386 0.8386 0.0000
V 0.6614 0.1614 0.0000
V 0.8386 0.6614 0.0000
Ge 0.1345 0.6345 0.5000
Ge 0.3655 0.1345 0.5000
Ge 0.6345 0.8655 0.5000
Ge 0.8655 0.3655 0.5000
Se 0.0000 0.0000 0.0000
Se 0.5000 0.5000 0.0000
```



(2)
Here is a geometry-optimized VGeSe4 structure from the Alexandria database. Energies are from PBE. Values from VASP.

Values from the calculation:
**Space-group type**: C2/m
**ΔE to the lowest computed polymorph**: 0.127 eV per atom

Quantum ESPRESSO input file:
```
&SYSTEM
  ibrav = 0, nat = 12, ntyp = 3
/
ATOMIC_SPECIES
V 50.94 V.upf
Ge 72.64 Ge.upf
Se 78.96 Se.upf
CELL_PARAMETERS angstrom
8.0090 -2.3199 0.0000
8.0090 2.3199 0.0000
-3.1581 0.0000 8.9887
ATOMIC_POSITIONS crystal
V 0.1782 0.1782 0.2654
V 0.8218 0.8218 0.7346
Ge 0.1235 0.1235 0.6298
Ge 0.8765 0.8765 0.3702
Se 0.0516 0.0516 0.3590
Se 0.0980 0.0980 0.0302
Se 0.2836 0.2836 0.6432
Se 0.3325 0.3325 0.2468
Se 0.6675 0.6675 0.7532
Se 0.7164 0.7164 0.3568
Se 0.9020 0.9020 0.9698
Se 0.9484 0.9484 0.6410
```



(3)
Here is a geometry-optimized V2GeSe structure from the Alexandria database. Energies are from PBE. Values from VASP.

Values from the calculation:
**Space-group type**: Fm-3m
**ΔE to the lowest computed polymorph**: 0.000 eV per atom

Quantum ESPRESSO input file:
```
&SYSTEM
  ibrav = 0, nat = 4, ntyp = 3
/
ATOMIC_SPECIES
V 50.94 V.upf
Ge 72.64 Ge.upf
Se 78.96 Se.upf
CELL_PARAMETERS angstrom
0.0000 3.0818 3.0818
3.0818 0.0000 3.0818
3.0818 3.0818 0.0000
ATOMIC_POSITIONS crystal
V 0.2500 0.2500 0.2500
V 0.7500 0.7500 0.7500
Ge 0.0000 0.0000 0.0000
Se 0.5000 0.5000 0.5000
```



Values for E_form (uncorrected), eV per atom, ordered as above
-0.112 -0.271 -0.057
Values for E, eV per atom, ordered as above
-6.303 -4.883 -6.642